1.
First-principles (PBE) data for a relaxed structure of Ac5PmNdSm2, as listed in the Alexandria database.

Computed properties:
Calculated formation energy, eV/atom: 0.1452
N(E_F), states/eV per atom: 1.64

Unit cell a=11.3914 b=11.3914 c=11.2591 alpha=90.00 beta=90.00 gamma=149.61
Closest atoms and distances in Å follow each position.
Atoms (fractional coordinates):
Ac 0.0096 0.9904 0.5000  2 Nd 3.56, 4 Sm 3.63-3.95
Ac 0.2762 0.7238 0.1894  1 Nd 3.28, 1 Sm 3.59, 2 Ac 3.65
Ac 0.2971 0.7029 0.8083  1 Nd 3.57, 3 Ac 3.65-3.95, 2 Pm 3.68, 2 Sm 3.73
Ac 0.3741 0.6259 0.4917  4 Sm 3.91-3.93, 6 Ac 3.95-4.22, 1 Pm 4.02
Ac 0.4875 0.5125 0.7636  2 Nd 3.41-3.64, 2 Sm 3.76
Ac 0.5125 0.4875 0.2636  2 Nd 3.41-3.64, 2 Sm 3.76
Ac 0.6259 0.3741 0.9917  4 Sm 3.91-3.93, 6 Ac 3.95-4.22, 1 Pm 4.02
Ac 0.7029 0.2971 0.3083  1 Nd 3.57, 3 Ac 3.65-3.95, 2 Pm 3.68, 2 Sm 3.73
Ac 0.7238 0.2762 0.6894  1 Nd 3.28, 1 Sm 3.59, 2 Ac 3.65
Ac 0.9904 0.0096 0.0000  2 Nd 3.56, 4 Sm 3.63-3.95
Pm 0.1913 0.8087 0.4978  2 Sm 3.45-3.62, 4 Ac 3.68-3.75, 2 Nd 3.70
Pm 0.8087 0.1913 0.9978  2 Sm 3.45-3.62, 4 Ac 3.68-3.75, 2 Nd 3.70
Nd 0.4055 0.5945 0.0441  6 Ac 3.28-3.64
Nd 0.5945 0.4055 0.5441  6 Ac 3.28-3.64
Sm 0.1136 0.8864 0.2141  9 Ac 3.59-3.95, 1 Pm 3.62
Sm 0.1154 0.8846 0.7660  1 Pm 3.45, 2 Ac 3.79-3.81
Sm 0.8846 0.1154 0.2660  1 Pm 3.45, 2 Ac 3.79-3.81
Sm 0.8864 0.1136 0.7141  9 Ac 3.59-3.95, 1 Pm 3.62


2.
First-principles (PBE) data for a relaxed structure of B2C, as listed in the Alexandria database.

Computed properties:
Calculated formation energy, eV/atom: 0.3957
N(E_F), states/eV per atom: 0.09

Unit cell a=6.3896 b=6.3896 c=5.0729 alpha=101.05 beta=101.05 gamma=24.50
Closest atoms and distances in Å follow each position.
Atoms (fractional coordinates):
B 0.0000 0.0000 0.0000  3 B 1.68-1.83
B 0.2096 0.2096 0.2072  2 C 1.57-1.61
B 0.5163 0.5163 0.8158  2 B 1.68, 1 C 1.73
B 0.5908 0.5908 0.1835  1 C 1.84, 5 B 1.89-2.00
B 0.6480 0.6480 0.6468  3 C 1.57-1.61
B 0.8373 0.8373 0.4383  2 C 1.55
B 0.8580 0.8580 0.0738  2 C 1.64, 1 B 1.77
B 0.9723 0.9723 0.3417  2 C 1.62, 1 B 1.77
C 0.2170 0.2170 0.7139  2 C 1.50-1.52, 2 B 1.61
C 0.2849 0.2849 0.9922  1 C 1.50, 3 B 1.57-1.64
C 0.2869 0.2869 0.5010  1 C 1.52, 3 B 1.55-1.61
C 0.5281 0.5281 0.4825  4 B 1.57-1.73


3.
First-principles (PBE) data for a relaxed structure of PdBrO3, as listed in the Alexandria database.

Computed properties:
Energy relative to the elements, uncorrected, kJ per mole of atoms: 86
N(E_F), states/eV per atom: 1.18

Unit cell a=3.9377 b=3.9377 c=3.9377 alpha=90.00 beta=90.00 gamma=90.00
Closest atoms and distances in Å follow each position.
Atoms (fractional coordinates):
Pd 0.0000 0.0000 0.0000  12 O 2.78
Br 0.5000 0.5000 0.5000  6 O 1.97
O 0.0000 0.5000 0.5000  2 Br 1.97
O 0.5000 0.0000 0.5000  2 Br 1.97
O 0.5000 0.5000 0.0000  2 Br 1.97


4.
First-principles (PBE) data for a relaxed structure of Tc3As5, as listed in the Alexandria database.

Computed properties:
Calculated formation energy, eV/atom: 0.2477
N(E_F), states/eV per atom: 0.85

Unit cell a=7.4712 b=7.4712 c=5.5982 alpha=90.00 beta=90.00 gamma=120.00
Closest atoms and distances in Å follow each position.
Atoms (fractional coordinates):
Tc 0.0000 0.4038 0.2500  7 As 2.51-2.67
Tc 0.0000 0.5962 0.7500  7 As 2.51-2.67
Tc 0.4038 0.0000 0.2500  7 As 2.51-2.67
Tc 0.4038 0.4038 0.7500  7 As 2.51-2.67
Tc 0.5962 0.0000 0.7500  7 As 2.51-2.67
Tc 0.5962 0.5962 0.2500  7 As 2.51-2.67
As 0.0000 0.2604 0.7500  3 Tc 2.51-2.65
As 0.0000 0.7396 0.2500  3 Tc 2.51-2.65
As 0.2604 0.0000 0.7500  3 Tc 2.51-2.65
As 0.2604 0.2604 0.2500  3 Tc 2.51-2.65
As 0.3333 0.6667 0.0000  6 Tc 2.67, 2 As 2.80
As 0.3333 0.6667 0.5000  6 Tc 2.67, 2 As 2.80
As 0.6667 0.3333 0.0000  6 Tc 2.67, 2 As 2.80
As 0.6667 0.3333 0.5000  6 Tc 2.67, 2 As 2.80
As 0.7396 0.0000 0.2500  3 Tc 2.51-2.65
As 0.7396 0.7396 0.7500  3 Tc 2.51-2.65


Please write out number 2 again, unchanged.
First-principles (PBE) data for a relaxed structure of B2C, as listed in the Alexandria database.

Computed properties:
Calculated formation energy, eV/atom: 0.3957
N(E_F), states/eV per atom: 0.09

Unit cell a=6.3896 b=6.3896 c=5.0729 alpha=101.05 beta=101.05 gamma=24.50
Closest atoms and distances in Å follow each position.
Atoms (fractional coordinates):
B 0.0000 0.0000 0.0000  3 B 1.68-1.83
B 0.2096 0.2096 0.2072  2 C 1.57-1.61
B 0.5163 0.5163 0.8158  2 B 1.68, 1 C 1.73
B 0.5908 0.5908 0.1835  1 C 1.84, 5 B 1.89-2.00
B 0.6480 0.6480 0.6468  3 C 1.57-1.61
B 0.8373 0.8373 0.4383  2 C 1.55
B 0.8580 0.8580 0.0738  2 C 1.64, 1 B 1.77
B 0.9723 0.9723 0.3417  2 C 1.62, 1 B 1.77
C 0.2170 0.2170 0.7139  2 C 1.50-1.52, 2 B 1.61
C 0.2849 0.2849 0.9922  1 C 1.50, 3 B 1.57-1.64
C 0.2869 0.2869 0.5010  1 C 1.52, 3 B 1.55-1.61
C 0.5281 0.5281 0.4825  4 B 1.57-1.73


Copy entry 3 word for word.
First-principles (PBE) data for a relaxed structure of PdBrO3, as listed in the Alexandria database.

Computed properties:
Energy relative to the elements, uncorrected, kJ per mole of atoms: 86
N(E_F), states/eV per atom: 1.18

Unit cell a=3.9377 b=3.9377 c=3.9377 alpha=90.00 beta=90.00 gamma=90.00
Closest atoms and distances in Å follow each position.
Atoms (fractional coordinates):
Pd 0.0000 0.0000 0.0000  12 O 2.78
Br 0.5000 0.5000 0.5000  6 O 1.97
O 0.0000 0.5000 0.5000  2 Br 1.97
O 0.5000 0.0000 0.5000  2 Br 1.97
O 0.5000 0.5000 0.0000  2 Br 1.97


Q: Look up the N(E_F) of the third one.
A: 1.18 states/eV per atom


Q: Number 4 is which compound?
A: Tc3As5